#1
A plane-wave DFT calculation with PBEsol was carried out for crystalline Ta2AlSb at its relaxed geometry.

Values from the calculation:
**Crystal system**: monoclinic
**Space group**: C2/m, No. 12

Cell lengths 2.9730, 5.2400, 5.2400 Å; angles 111.86, 99.79, 99.79 degrees
Atoms (fractional coordinates):
Al (0.5000, 0.0000, 0.0000)
Ta (0.0000, 0.5000, 0.0000)
Ta (0.0000, 0.0000, 0.5000)
Sb (0.5000, 0.5000, 0.5000)

#2
A plane-wave DFT calculation with PBEsol was carried out for crystalline Ta2AlSb at its relaxed geometry.

Values from the calculation:
**Crystal system**: trigonal
**Space group**: R3m, No. 160

Cell lengths 3.0470, 3.0470, 9.5873 Å; angles 80.86, 80.86, 60.00 degrees
Atoms (fractional coordinates):
Ta (0.7524, 0.7524, 0.7427)
Al (0.4949, 0.4949, 0.5154)
Ta (0.0009, 0.0009, 0.9973)
Sb (0.2518, 0.2518, 0.2446)

Which of them is most stable? Easy: #1.

#1
A plane-wave DFT calculation with PBEsol was carried out for crystalline Ta2AlSb at its relaxed geometry.

Values from the calculation:
**Crystal system**: cubic
**Space group**: F-43m, No. 216

Cell lengths 4.6656, 4.6656, 4.6656 Å; angles 60.00, 60.00, 60.00 degrees
Atoms (fractional coordinates):
Ta (0.7500, 0.7500, 0.7500)
Sb (0.2500, 0.2500, 0.2500)
Ta (0.0000, 0.0000, 0.0000)
Al (0.5000, 0.5000, 0.5000)

#2
A plane-wave DFT calculation with PBEsol was carried out for crystalline Ta2AlSb at its relaxed geometry.

Values from the calculation:
**Crystal system**: tetragonal
**Space group**: P4/mmm, No. 123

Cell lengths 3.2207, 3.2207, 6.9331 Å; angles 90.00, 90.00, 90.00 degrees
Atoms (fractional coordinates):
Ta (0.0000, 0.0000, 0.7503)
Sb (0.5000, 0.5000, 0.5000)
Ta (0.0000, 0.0000, 0.2497)
Al (0.5000, 0.5000, 0.0000)

Which of them is most stable? Easy: #2.

#1
A plane-wave DFT calculation with PBEsol was carried out for crystalline TaAlSb at its relaxed geometry.

Values from the calculation:
**Crystal system**: tetragonal
**Space group**: I4mm, No. 107

Cell lengths 2.9620, 2.9620, 7.1051 Å; angles 102.03, 102.03, 90.00 degrees
Atoms (fractional coordinates):
Ta (0.3417, 0.3417, 0.6835)
Sb (0.6777, 0.6777, 0.3554)
Al (0.9806, 0.9806, 0.9612)

#2
A plane-wave DFT calculation with PBEsol was carried out for crystalline TaAlSb at its relaxed geometry.

Values from the calculation:
**Crystal system**: tetragonal
**Space group**: I4mm, No. 107

Cell lengths 3.4921, 3.4921, 5.0786 Å; angles 110.11, 110.11, 90.00 degrees
Atoms (fractional coordinates):
Al (0.9957, 0.9957, 0.9914)
Ta (0.3346, 0.3346, 0.6691)
Sb (0.6698, 0.6698, 0.3395)

Which of them is most stable? Easy: #2.